A plane-wave DFT calculation with PBE was carried out for a relaxed structure of TaBrNF2.

Its space group is P4/mmm. The calculation puts the energy relative to the elements, uncorrected at 1.265 eV/atom. As for the total magnetization: 2.65 μB/cell. For the energy above the lowest structure with this stoichiometry, the calculation gives 12.26 eV/f.u.

abc: 4.244 4.244 4.440
angles: 90.00 90.00 90.00
Each line ends with the local moment (μB).
Sites, in units of the cell vectors:
N1 0.000 0.000 0.500  -0.18
F1 0.000 0.500 0.000  0.03
F2 0.500 0.000 0.000  0.03
Br1 0.000 0.000 0.000  0.00
Ta1 0.500 0.500 0.500  2.00

A plane-wave DFT calculation with PBE was carried out for a relaxed structure of K2TbUSe4.

Its space group is P2/m. The calculation puts the energy relative to the elements, uncorrected at -1.483 eV/atom. As for the total magnetization: 3.01 μB/cell.

abc: 4.232 7.330 8.088
angles: 107.59 90.00 90.00
Each line ends with the local moment (μB).
Sites, in units of the cell vectors:
K1 0.500 0.000 0.500  0.00
K2 0.000 0.500 0.500  0.00
Tb1 0.500 0.500 0.000  0.10
U1 0.000 0.000 0.000  2.67
Se1 0.500 0.237 0.208  -0.04
Se2 0.500 0.763 0.792  -0.04
Se3 0.000 0.265 0.793  -0.02
Se4 0.000 0.735 0.207  -0.02

A plane-wave DFT calculation with PBE was carried out for a relaxed structure of LiMg3Cu2.

Its space group is P4/mmm. As for the calculated formation energy: -0.0810 eV per atom. As for the total magnetization: 0.00 μB/cell.

abc: 3.159 3.159 10.367
angles: 90.00 90.00 90.00
Sites, in units of the cell vectors:
Li1 0.500 0.500 0.500
Mg1 0.000 0.000 0.000
Mg2 0.000 0.000 0.696
Mg3 0.000 0.000 0.304
Cu1 0.500 0.500 0.847
Cu2 0.500 0.500 0.153